A crystal of Zr2SiMo relaxed with PBEsol, computed with meta-GGA SCAN.

```
4
Lattice="2.844 0.000 0.000 0.000 2.844 0.000 0.000 0.000 8.703" Properties=species:S:1:pos:R:3 pbc="T T T"
Zr 0.000 0.000 1.993
Zr 0.000 0.000 6.709
Si 1.422 1.422 0.000
Mo 1.422 1.422 4.351
```

Values from the calculation:
Formation energy without anion corrections   -47 meV per atom
SG   P4/mmm (123)

=====

A crystal of Sb2TePdO relaxed with PBEsol, computed with meta-GGA SCAN.

```
5
Lattice="5.078 0.000 0.000 0.000 5.078 0.000 0.000 0.000 5.260" Properties=species:S:1:pos:R:3 pbc="T T T"
Sb 0.000 2.539 0.000
Sb 2.539 0.000 0.000
Te 0.000 0.000 2.630
Pd 0.000 0.000 0.000
O 2.539 2.539 2.630
```

Values from the calculation:
Formation energy without anion corrections   751 meV per atom
SG   P4/mmm (123)

=====

A crystal of Sr2InAg relaxed with PBEsol, computed with meta-GGA SCAN.

```
4
Lattice="5.608 0.000 0.000 0.000 5.608 0.000 0.000 0.000 3.830" Properties=species:S:1:pos:R:3 pbc="T T T"
Sr 0.000 2.804 0.000
Sr 2.804 0.000 0.000
In 0.000 0.000 1.915
Ag 2.804 2.804 1.915
```

Values from the calculation:
SG   P4/mmm (123)
Total energy   -27.73 eV/atom

=====

A crystal of Y2AgPb2 relaxed with PBEsol, computed with meta-GGA SCAN.

```
10
Lattice="7.521 0.000 0.000 0.000 7.521 0.000 0.000 0.000 4.551" Properties=species:S:1:pos:R:3 pbc="T T T"
Y 1.273 2.488 0.000
Y 2.488 6.249 0.000
Y 5.033 1.273 0.000
Y 6.249 5.033 0.000
Ag 0.000 0.000 2.276
Ag 3.761 3.761 2.276
Pb 1.057 4.818 2.276
Pb 2.703 1.057 2.276
Pb 4.818 6.464 2.276
Pb 6.464 2.703 2.276
```

Values from the calculation:
SG   P4/mbm (127)
Total energy   -48.29 eV/atom